# 1
VASP calculation (PBE) on a geometry-optimized CsRb2PBr6 structure.

The calculation puts the total magnetization at 0.00 μB per cell. The uncorrected formation energy comes out at -1086 meV per atom.

abc: 8.4197 8.4197 8.4197
angles: 60.00 60.00 60.00
Positions (direct):
Cs1 0.0000 0.0000 0.0000
Rb1 0.2500 0.2500 0.2500
Rb2 0.7500 0.7500 0.7500
P1 0.5000 0.5000 0.5000
Br1 0.2829 0.2829 0.7171
Br2 0.2829 0.7171 0.2829
Br3 0.2829 0.7171 0.7171
Br4 0.7171 0.2829 0.2829
Br5 0.7171 0.2829 0.7171
Br6 0.7171 0.7171 0.2829

---

# 2
VASP calculation (PBE) on a geometry-optimized Cs2RePBr6 structure.

The calculation puts the total magnetization at 3.96 μB per cell. The uncorrected formation energy comes out at -553 meV per atom.

abc: 8.0600 8.0600 8.0600
angles: 123.98 123.98 83.23
Positions (direct):
Cs1 0.2500 0.7500 0.5000
Cs2 0.7500 0.2500 0.5000
Re1 0.0000 0.0000 0.0000
P1 0.5000 0.5000 0.0000
Br1 0.2115 0.2115 0.0000
Br2 0.2452 0.2452 0.4904
Br3 0.2452 0.7548 0.0000
Br4 0.7548 0.2452 0.0000
Br5 0.7548 0.7548 0.5096
Br6 0.7885 0.7885 0.0000

---

# 3
VASP calculation (PBE) on a geometry-optimized CsP2RhBr structure.

The calculation puts the total magnetization at 0.00 μB per cell. The uncorrected formation energy comes out at -161 meV per atom.

abc: 4.5576 4.5576 8.1455
angles: 90.00 90.00 90.00
Positions (direct):
Cs1 0.0000 0.0000 0.0000
P1 0.0000 0.5000 0.5000
P2 0.5000 0.0000 0.5000
Rh1 0.0000 0.0000 0.5000
Br1 0.5000 0.5000 0.0000

---

# 4
VASP calculation (PBE) on a geometry-optimized CsPS2Br structure.

The calculation puts the total magnetization at 2.25 μB per cell. The uncorrected formation energy comes out at 598 meV per atom. For the excess energy over the best structure of this formula in the dataset, the calculation gives 0.0 meV/atom.

abc: 5.3002 5.3002 5.1934
angles: 90.00 90.00 90.00
Positions (direct):
Cs1 0.0000 0.0000 0.0000
P1 0.5000 0.5000 0.0000
S1 0.0000 0.5000 0.5000
S2 0.5000 0.0000 0.5000
Br1 0.5000 0.5000 0.5000

---

Question: What is the total magnetization in the third record?
Answer: 0.00 μB per cell